Material: Cd2ReTc
Method: DFT, PBE
State: relaxed

Results
Total DFT energy (no corrections) = -5.807 eV per atom
ΔE_f = 0.355 eV per atom
M_tot = 0.000 μB/f.u.
Relative energy among the computed polymorphs = 0.73 eV/f.u.
DOS(E_F) = 0.657 states/eV/atom
Symmetry = Cmm2, No. 35

a b c (Å): 2.8083 2.8083 10.0013
angles (deg): 90.00 90.00 115.98
Fractional positions:
Cd  0.0000  0.0000  0.9834
Cd  0.5000  0.5000  0.2647
Re  0.0000  0.0000  0.5219
Tc  0.5000  0.5000  0.7300

Material: Cd2ReTc
Method: DFT, PBE
State: relaxed

Results
Total DFT energy (no corrections) = -5.659 eV per atom
ΔE_f = 0.502 eV per atom
M_tot = 0.000 μB/f.u.
Relative energy among the computed polymorphs = 1.32 eV/f.u.
DOS(E_F) = 0.781 states/eV/atom
Symmetry = Cm, No. 8

a b c (Å): 4.7886 4.7886 5.3760
angles (deg): 83.43 83.43 34.49
Fractional positions:
Cd  0.9974  0.9974  0.9920
Cd  0.7523  0.7523  0.7572
Re  0.5021  0.5021  0.4617
Tc  0.2482  0.2482  0.2891